Material: TaRe2Cl
Method: DFT, PBE
State: optimized geometry

Summary:
Energy relative to the elements, uncorrected in eV/atom: 0.609
DOS(E_F) in states/eV per cell: 2.63
Raw total energy in eV/atom: -9.04
Excess energy over the best structure of this formula in the dataset in meV/atom: 496

abc: 3.086 3.086 6.933
angles: 90.00 90.00 90.00
Positions (direct):
Ta  0.000  0.000  0.000
Re  0.500  0.500  0.234
Re  0.500  0.500  0.766
Cl  0.000  0.000  0.500

***

Material: Ta2ReCl
Method: DFT, PBE
State: optimized geometry

Summary:
Energy relative to the elements, uncorrected in eV/atom: 0.453
DOS(E_F) in states/eV per cell: 3.68
Raw total energy in eV/atom: -9.05
Excess energy over the best structure of this formula in the dataset in meV/atom: 557

abc: 4.751 4.751 2.963
angles: 90.00 90.00 90.00
Positions (direct):
Ta  0.000  0.500  0.000
Ta  0.500  0.000  0.000
Re  0.000  0.000  0.500
Cl  0.500  0.500  0.500

***

Material: Ta2ReCl
Method: DFT, PBE
State: optimized geometry

Summary:
Energy relative to the elements, uncorrected in eV/atom: 0.111
DOS(E_F) in states/eV per cell: 1.94
Raw total energy in eV/atom: -9.39
Excess energy over the best structure of this formula in the dataset in meV/atom: 214

abc: 2.898 2.898 10.071
angles: 90.00 90.00 112.47
Positions (direct):
Ta  0.000  0.000  0.000
Ta  0.500  0.500  0.239
Re  0.000  0.000  0.440
Cl  0.500  0.500  0.807

***

Material: Ta2ReCl
Method: DFT, PBE
State: optimized geometry

Summary:
Energy relative to the elements, uncorrected in eV/atom: 0.117
DOS(E_F) in states/eV per cell: 3.33
Raw total energy in eV/atom: -9.38
Excess energy over the best structure of this formula in the dataset in meV/atom: 220

abc: 2.920 2.920 8.884
angles: 90.00 90.00 114.53
Positions (direct):
Ta  0.000  0.000  0.243
Ta  0.000  0.000  0.757
Re  0.500  0.500  0.000
Cl  0.500  0.500  0.500

***

Copy entry 2 word for word.
Material: Ta2ReCl
Method: DFT, PBE
State: optimized geometry

Summary:
Energy relative to the elements, uncorrected in eV/atom: 0.453
DOS(E_F) in states/eV per cell: 3.68
Raw total energy in eV/atom: -9.05
Excess energy over the best structure of this formula in the dataset in meV/atom: 557

abc: 4.751 4.751 2.963
angles: 90.00 90.00 90.00
Positions (direct):
Ta  0.000  0.500  0.000
Ta  0.500  0.000  0.000
Re  0.000  0.000  0.500
Cl  0.500  0.500  0.500

***

What is the raw total energy in the third record?
-9.39 eV/atom